Compound: BaV2Ni2O8
Source: the Alexandria database
Functional: PBE with a Hubbard U
Structure: relaxed

Crystal system = trigonal
Total energy = -6.646 eV/atom
Calculated volume = 172.5 Å³ per cell

Cell: 8.2406 8.2406 8.2406 Å, 35.95 35.95 35.95°
Element x y z (fractional)
Ba1 0.0000 0.0000 0.0000
V1 0.4257 0.4257 0.4257
V2 0.5743 0.5743 0.5743
Ni1 0.1694 0.1694 0.1694
Ni2 0.8306 0.8306 0.8306
O1 0.1219 0.4368 0.7857
O2 0.2143 0.8781 0.5632
O3 0.3523 0.3523 0.3523
O4 0.4368 0.7857 0.1219
O5 0.5632 0.2143 0.8781
O6 0.6477 0.6477 0.6477
O7 0.7857 0.1219 0.4368
O8 0.8781 0.5632 0.2143